# 1
The following is a GGA-PBE calculation of crystalline Sc2NiSe at its relaxed geometry, from Alexandria.

Output
As for the total moment: 0.00 Bohr magnetons per cell.

Geometry as extended XYZ:
```
4
Lattice="3.776 0.000 0.000 0.000 3.776 0.000 0.000 0.000 5.446" Properties=species:S:1:pos:R:3 pbc="T T T"
Sc 0.000 0.000 0.000
Sc 1.888 1.888 2.713
Ni 1.888 1.888 5.442
Se 0.000 0.000 2.725
```


# 2
The following is a GGA-PBE calculation of crystalline ScNiSe2 at its relaxed geometry, from Alexandria.

Output
As for the total moment: 0.00 Bohr magnetons per cell.

Geometry as extended XYZ:
```
8
Lattice="6.341 0.000 0.000 0.000 6.330 0.000 -0.008 0.000 3.371" Properties=species:S:1:pos:R:3 pbc="T T T"
Sc 0.000 0.000 0.000
Sc 3.171 3.165 0.000
Ni 0.000 3.165 0.000
Ni 3.171 0.000 0.000
Se 1.581 1.582 1.686
Se 1.581 4.747 1.686
Se 4.752 1.582 1.686
Se 4.752 4.747 1.686
```


# 3
The following is a GGA-PBE calculation of crystalline Sc2Ni2Se at its relaxed geometry, from Alexandria.

Output
As for the total moment: 0.00 Bohr magnetons per cell.

Geometry as extended XYZ:
```
10
Lattice="6.851 0.000 0.000 0.000 6.851 0.000 0.000 0.000 3.488" Properties=species:S:1:pos:R:3 pbc="T T T"
Sc 1.182 2.244 0.000
Sc 2.244 5.669 0.000
Sc 4.607 1.182 0.000
Sc 5.669 4.607 0.000
Ni 0.842 4.267 1.744
Ni 2.584 0.842 1.744
Ni 4.267 6.009 1.744
Ni 6.009 2.584 1.744
Se 0.000 0.000 1.744
Se 3.425 3.425 1.744
```


# 4
The following is a GGA-PBE calculation of crystalline Sc2NiSe at its relaxed geometry, from Alexandria.

Output
As for the total moment: 0.00 Bohr magnetons per cell.

Geometry as extended XYZ:
```
16
Lattice="6.843 0.000 0.000 0.000 6.843 0.000 0.000 0.000 6.996" Properties=species:S:1:pos:R:3 pbc="T T T"
Sc 1.559 1.711 0.874
Sc 1.711 4.980 2.623
Sc 1.711 5.284 6.121
Sc 1.863 1.711 4.372
Sc 4.980 5.132 4.372
Sc 5.132 1.559 6.121
Sc 5.132 1.863 2.623
Sc 5.284 5.132 0.874
Ni 0.000 0.000 0.000
Ni 0.000 3.422 1.749
Ni 3.422 0.000 5.247
Ni 3.422 3.422 3.498
Se 0.000 0.000 3.498
Se 0.000 3.422 5.247
Se 3.422 0.000 1.749
Se 3.422 3.422 0.000
```


# 5
The following is a GGA-PBE calculation of crystalline ScNi2Se at its relaxed geometry, from Alexandria.

Output
As for the total moment: 0.00 Bohr magnetons per cell.

Geometry as extended XYZ:
```
4
Lattice="3.386 0.000 0.000 0.000 3.913 0.000 -0.010 0.000 4.866" Properties=species:S:1:pos:R:3 pbc="T T T"
Sc 0.000 0.000 0.000
Ni 1.690 1.956 1.166
Ni 1.685 1.956 3.700
Se 1.688 0.000 2.433
```


# 6
The following is a GGA-PBE calculation of crystalline Sc2NiSe at its relaxed geometry, from Alexandria.

Output
As for the total moment: 0.01 Bohr magnetons per cell.

Geometry as extended XYZ:
```
16
Lattice="6.590 0.000 0.000 0.000 6.590 0.000 0.000 0.000 6.590" Properties=species:S:1:pos:R:3 pbc="T T T"
Sc 0.000 0.000 0.000
Sc 0.000 3.295 3.295
Sc 1.647 1.647 1.647
Sc 1.647 4.942 4.942
Sc 3.295 0.000 3.295
Sc 3.295 3.295 0.000
Sc 4.942 1.647 4.942
Sc 4.942 4.942 1.647
Ni 1.647 1.647 4.942
Ni 1.647 4.942 1.647
Ni 4.942 1.647 1.647
Ni 4.942 4.942 4.942
Se 0.000 0.000 3.295
Se 0.000 3.295 0.000
Se 3.295 0.000 0.000
Se 3.295 3.295 3.295
```


How do the records compare in formation energy (no corrections)? In the order shown, they have -0.8279 -0.6858 -0.6608 -0.6044 -0.5166 -0.0759 eV per atom.
How do the records compare in raw total energy? In the order shown, they have -25.24 -43.65 -62.03 -97.39 -23.44 -88.93 eV per cell.
How do the records compare in density? In the order shown, they have 4.86 6.42 5.81 4.61 6.22 5.28 g/cm³.